(1)
LaTi2Ga2 (PBE-GGA, relaxed); crystal system = tetragonal; space group = No. 139; excess energy over the best structure of this formula in the dataset = 189 meV/atom
1.0
-0.538 4.422 0.912
-0.272 -0.949 4.439
4.843 2.285 3.114
Ti Ga La
2 2 1
Direct
0.372 0.372 0.255
0.628 0.628 0.745
0.750 0.250 0.500
0.250 0.750 0.500
0.000 0.000 0.000



(2)
La6Tl5Ga (PBE-GGA, relaxed); crystal system = monoclinic; space group = No. 10
1.0
5.492 0.002 -1.154
-0.004 7.853 -0.001
-1.035 0.000 8.826
Tl Ga La
5 1 6
Direct
0.666 0.500 0.338
0.332 0.000 0.659
0.000 0.500 0.000
0.668 0.000 0.341
0.334 0.500 0.662
0.000 0.000 0.000
0.841 0.755 0.678
0.841 0.245 0.678
0.500 0.240 0.000
0.500 0.760 0.000
0.159 0.755 0.322
0.159 0.245 0.322



(3)
La2TlGa (PBE-GGA, relaxed); crystal system = trigonal; space group = No. 166; excess energy over the best structure of this formula in the dataset = 174 meV/atom
1.0
-0.720 -3.261 2.099
0.201 -3.541 -1.726
9.056 -2.847 2.392
Tl Ga La
1 1 2
Direct
0.500 0.500 0.500
0.000 0.000 0.000
0.257 0.257 0.230
0.743 0.743 0.770



The energy results, record by record, are as follows: -27.37, -49.70, -16.53 eV for the cell shown.
The calculated formation energy results, record by record, are as follows: -0.12, -0.44, -0.32 eV/atom.